1.
Density functional theory data (GGA-PBE) for a relaxed Na2TmTcO6 crystal.

The structure belongs to space group P2_1/c (No. 14); the cell edges are 5.591, 5.712 and 9.728 Å and the angles 90.00°, 124.81° and 90.00°. The asymmetric unit holds Na at (0.242, 0.037, 0.251), Tm at (0.500, 0.000, 0.000), Tc at (0.000, 0.000, 0.500), O at (0.139, 0.228, 0.953), O at (0.232, 0.690, 0.959) and O at (0.314, 0.023, 0.730).

As for the uncorrected formation energy: -2.01 eV per atom.



2.
Density functional theory data (GGA-PBE) for a relaxed CaSnRuN2 crystal.

The structure belongs to space group P4/mmm (No. 123); the cell edges are 4.217, 4.217 and 5.313 Å and the angles 90.00°, 90.00° and 90.00°. The asymmetric unit holds Ca at (0.000, 0.000, 0.000), Sn at (0.500, 0.500, 0.500), Ru at (0.500, 0.500, 0.000) and N at (0.000, 0.500, 0.500).

As for the uncorrected formation energy: 1.32 eV per atom.



3.
Density functional theory data (GGA-PBE) for a relaxed TcP2Pt crystal.

The structure belongs to space group Pmm2 (No. 25); the cell edges are 3.160, 3.598 and 5.016 Å and the angles 90.00°, 90.00° and 90.00°. The asymmetric unit holds Tc at (0.000, 0.000, 0.000), P at (0.000, 0.000, 0.506), P at (0.500, 0.500, 0.144) and Pt at (0.500, 0.500, 0.634).

The energy above the lowest structure with this stoichiometry is 107 meV/atom.



4.
Density functional theory data (GGA-PBE) for a relaxed Ca3PrSn2 crystal.

The structure belongs to space group Pmc2_1 (No. 26); the cell edges are 5.317, 9.662 and 7.236 Å and the angles 90.00°, 90.00° and 90.00°. The asymmetric unit holds Ca at (0.000, 0.040, 0.000), Ca at (0.000, 0.322, 0.321), Ca at (0.500, 0.169, 0.714), Pr at (0.500, 0.472, 0.033), Sn at (0.000, 0.348, 0.778) and Sn at (0.500, 0.158, 0.252).



5.
Density functional theory data (GGA-PBE) for a relaxed KBSe3 crystal.

The structure belongs to space group Pm-3m (No. 221); the cell edges are 5.973, 5.973 and 5.973 Å and the angles 90.00°, 90.00° and 90.00°. The asymmetric unit holds K at (0.000, 0.000, 0.000), B at (0.500, 0.500, 0.500) and Se at (0.000, 0.000, 0.500).

As for the uncorrected formation energy: 1.78 eV per atom.



6.
Density functional theory data (GGA-PBE) for a relaxed La2AgRh2 crystal.

The structure belongs to space group I4/mmm (No. 139); the cell edges are 5.455, 5.455 and 8.290 Å and the angles 90.00°, 90.00° and 90.00°. The asymmetric unit holds La at (0.000, 0.500, 0.250), Ag at (0.000, 0.000, 0.000) and Rh at (0.000, 0.000, 0.337).

The energy above the lowest structure with this stoichiometry is 137 meV/atom.



7.
Density functional theory data (GGA-PBE) for a relaxed TbGa3Rh4 crystal.

The structure belongs to space group R-3m (No. 166, hexagonal axes); the cell edges are 4.4072, 4.4072 and 22.1457 Å and the angles 90.00°, 90.00° and 120.00°. The asymmetric unit holds Tb at (0.0000, 0.0000, 0.0000), Ga at (0.0000, 0.0000, 0.2486), Ga at (0.0000, 0.0000, 0.5000), Rh at (0.0000, 0.0000, 0.1303) and Rh at (0.0000, 0.0000, 0.3875).



8.
Density functional theory data (GGA-PBE) for a relaxed GdTmNiGe crystal.

The structure belongs to space group F-43m (No. 216); the cell edges are 6.952, 6.952 and 6.952 Å and the angles 90.00°, 90.00° and 90.00°. The asymmetric unit holds Gd at (0.000, 0.000, 0.000), Tm at (0.000, 0.000, 0.500), Ni at (0.250, 0.250, 0.250) and Ge at (0.250, 0.250, 0.750).



Listing total DFT energy (no corrections) for the structures above in their given order: -6.737, -5.062, -7.095, -3.746, -1.864, -5.942, -6.148, -7.780 eV/atom.